First-principles (GGA-PBE) data for an optimized crystal structure of La9Pm4Zn11, as listed in Alexandria.

Properties
Calculated formation energy: -0.2441 eV per atom
Uncorrected energy: -3.4676 eV/atom
Symmetry: Cmmm (65)

```
data_La9Pm4Zn11
_cell_length_a 3.6345
_cell_length_b 13.6640
_cell_length_c 13.6640
_cell_angle_alpha 110.49
_cell_angle_beta 90.00
_cell_angle_gamma 90.00
_space_group_name_H-M_alt 'P 1'
_space_group_IT_number 1
loop_
_space_group_symop_operation_xyz
'x,y,z'
loop_
_atom_site_label
_atom_site_type_symbol
_atom_site_fract_x
_atom_site_fract_y
_atom_site_fract_z
Zn1 Zn 0.0000 0.7465 0.7465
La1 La 0.5000 0.2071 0.0363
Pm1 Pm 0.5000 0.4378 0.2504
Zn2 Zn 0.0000 0.6352 0.3648
La2 La 0.5000 0.5000 0.5000
Pm2 Pm 0.5000 0.2504 0.4378
Zn3 Zn 0.0000 0.0000 0.0000
La3 La 0.5000 0.8557 0.3741
Pm3 Pm 0.5000 0.7496 0.5622
La4 La 0.5000 0.7929 0.9637
Zn4 Zn 0.0000 0.0575 0.4164
Zn5 Zn 0.0000 0.9425 0.5836
Zn6 Zn 0.0000 0.1677 0.8323
Zn7 Zn 0.0000 0.8323 0.1677
La5 La 0.5000 0.0363 0.2071
Zn8 Zn 0.0000 0.3648 0.6352
La6 La 0.5000 0.1443 0.6259
La7 La 0.5000 0.6259 0.1443
Zn9 Zn 0.0000 0.4164 0.0575
La8 La 0.5000 0.9637 0.7929
Zn10 Zn 0.0000 0.5836 0.9425
Zn11 Zn 0.0000 0.2535 0.2535
La9 La 0.5000 0.3741 0.8557
Pm4 Pm 0.5000 0.5622 0.7496
```



First-principles (GGA-PBE) data for an optimized crystal structure of La2Pm3Zn2, as listed in Alexandria.

Properties
Calculated formation energy: -0.1308 eV per atom
Uncorrected energy: -3.9386 eV/atom
Offset from the most stable computed form: 0 meV/atom
Symmetry: Cmmm (65)

```
data_La2Pm3Zn2
_cell_length_a 3.7244
_cell_length_b 3.6832
_cell_length_c 15.2614
_cell_angle_alpha 90.00
_cell_angle_beta 97.01
_cell_angle_gamma 90.00
_space_group_name_H-M_alt 'P 1'
_space_group_IT_number 1
loop_
_space_group_symop_operation_xyz
'x,y,z'
loop_
_atom_site_label
_atom_site_type_symbol
_atom_site_fract_x
_atom_site_fract_y
_atom_site_fract_z
Pm1 Pm 0.0000 0.0000 0.0000
Pm2 Pm 0.4154 0.5000 0.8308
La1 La 0.7038 0.5000 0.4076
Pm3 Pm 0.5846 0.5000 0.1692
Zn1 Zn 0.8596 0.0000 0.7193
Zn2 Zn 0.1404 0.0000 0.2807
La2 La 0.2962 0.5000 0.5924
```



First-principles (GGA-PBE) data for an optimized crystal structure of LaPm2Zn4, as listed in Alexandria.

Properties
Calculated formation energy: -0.1257 eV per atom
Uncorrected energy: -2.9150 eV/atom
Symmetry: I4/mmm (139)

```
data_LaPm2Zn4
_cell_length_a 5.3345
_cell_length_b 5.3345
_cell_length_c 7.4586
_cell_angle_alpha 110.95
_cell_angle_beta 110.95
_cell_angle_gamma 90.00
_space_group_name_H-M_alt 'P 1'
_space_group_IT_number 1
loop_
_space_group_symop_operation_xyz
'x,y,z'
loop_
_atom_site_label
_atom_site_type_symbol
_atom_site_fract_x
_atom_site_fract_y
_atom_site_fract_z
Zn1 Zn 0.1111 0.6111 0.2223
Zn2 Zn 0.6111 0.1111 0.2223
La1 La 0.0000 0.0000 0.0000
Zn3 Zn 0.3889 0.8889 0.7777
Pm1 Pm 0.7193 0.7193 0.4386
Zn4 Zn 0.8889 0.3889 0.7777
Pm2 Pm 0.2807 0.2807 0.5614
```



First-principles (GGA-PBE) data for an optimized crystal structure of LaPm3Zn, as listed in Alexandria.

Properties
Calculated formation energy: -0.1097 eV per atom
Uncorrected energy: -4.2003 eV/atom
Offset from the most stable computed form: 0 meV/atom
Symmetry: P-1 (2)

```
data_LaPm3Zn
_cell_length_a 3.7583
_cell_length_b 6.7145
_cell_length_c 12.9465
_cell_angle_alpha 89.54
_cell_angle_beta 90.00
_cell_angle_gamma 73.72
_space_group_name_H-M_alt 'P 1'
_space_group_IT_number 1
loop_
_space_group_symop_operation_xyz
'x,y,z'
loop_
_atom_site_label
_atom_site_type_symbol
_atom_site_fract_x
_atom_site_fract_y
_atom_site_fract_z
La1 La 0.7819 0.4370 0.2655
Pm1 Pm 0.9541 0.0908 0.8078
Zn1 Zn 0.5397 0.9201 0.6347
La2 La 0.2181 0.5630 0.7345
Pm2 Pm 0.0459 0.9092 0.1922
Zn2 Zn 0.4603 0.0799 0.3653
Pm3 Pm 0.6347 0.7310 0.9656
Pm4 Pm 0.3653 0.2690 0.0344
Pm5 Pm 0.8674 0.2651 0.5380
Pm6 Pm 0.1326 0.7349 0.4620
```



First-principles (GGA-PBE) data for an optimized crystal structure of LaPm2Zn3, as listed in Alexandria.

Properties
Calculated formation energy: -0.3113 eV per atom
Uncorrected energy: -3.3531 eV/atom
Offset from the most stable computed form: 0 meV/atom
Symmetry: P-3m1 (164)

```
data_LaPm2Zn3
_cell_length_a 5.2208
_cell_length_b 5.2208
_cell_length_c 6.4044
_cell_angle_alpha 90.00
_cell_angle_beta 90.00
_cell_angle_gamma 120.00
_space_group_name_H-M_alt 'P 1'
_space_group_IT_number 1
loop_
_space_group_symop_operation_xyz
'x,y,z'
loop_
_atom_site_label
_atom_site_type_symbol
_atom_site_fract_x
_atom_site_fract_y
_atom_site_fract_z
Zn1 Zn 0.6667 0.3333 0.8295
Zn2 Zn 0.0000 0.0000 0.5000
Zn3 Zn 0.3333 0.6667 0.1705
La1 La 0.0000 0.0000 0.0000
Pm1 Pm 0.6667 0.3333 0.3376
Pm2 Pm 0.3333 0.6667 0.6624
```



First-principles (GGA-PBE) data for an optimized crystal structure of LaPm2Zn, as listed in Alexandria.

Properties
Calculated formation energy: 0.0946 eV per atom
Uncorrected energy: -3.8311 eV/atom
Offset from the most stable computed form: 248 meV/atom
Symmetry: R-3m (166)

```
data_LaPm2Zn
_cell_length_a 3.5368
_cell_length_b 3.5368
_cell_length_c 11.7936
_cell_angle_alpha 81.38
_cell_angle_beta 81.38
_cell_angle_gamma 60.00
_space_group_name_H-M_alt 'P 1'
_space_group_IT_number 1
loop_
_space_group_symop_operation_xyz
'x,y,z'
loop_
_atom_site_label
_atom_site_type_symbol
_atom_site_fract_x
_atom_site_fract_y
_atom_site_fract_z
Pm1 Pm 0.8990 0.8990 0.3030
Zn1 Zn 0.5000 0.5000 0.5000
Pm2 Pm 0.1010 0.1010 0.6970
La1 La 0.0000 0.0000 0.0000
```



First-principles (GGA-PBE) data for an optimized crystal structure of La5PmZn3, as listed in Alexandria.

Properties
Calculated formation energy: -0.1434 eV per atom
Uncorrected energy: -3.8334 eV/atom
Symmetry: P6_3/mcm (193)

```
data_La5PmZn3
_cell_length_a 7.1351
_cell_length_b 9.2094
_cell_length_c 9.2087
_cell_angle_alpha 120.00
_cell_angle_beta 90.00
_cell_angle_gamma 90.00
_space_group_name_H-M_alt 'P 1'
_space_group_IT_number 1
loop_
_space_group_symop_operation_xyz
'x,y,z'
loop_
_atom_site_label
_atom_site_type_symbol
_atom_site_fract_x
_atom_site_fract_y
_atom_site_fract_z
Zn1 Zn 0.7500 0.6728 0.0000
Zn2 Zn 0.2500 0.0000 0.3272
La1 La 0.0000 0.3333 0.6667
Pm1 Pm 0.0000 0.0000 0.0000
Pm2 Pm 0.5000 0.0000 0.0000
Zn3 Zn 0.7500 0.3272 0.3272
La2 La 0.2500 0.6640 0.0000
La3 La 0.2500 0.0000 0.6640
La4 La 0.5000 0.6667 0.3333
Zn4 Zn 0.2500 0.6728 0.6728
La5 La 0.5000 0.3333 0.6667
La6 La 0.0000 0.6667 0.3333
La7 La 0.2500 0.3360 0.3360
La8 La 0.7500 0.6640 0.6640
Zn5 Zn 0.7500 0.0000 0.6728
La9 La 0.7500 0.3360 0.0000
La10 La 0.7500 0.0000 0.3360
Zn6 Zn 0.2500 0.3272 0.0000
```



First-principles (GGA-PBE) data for an optimized crystal structure of LaPm2Zn2, as listed in Alexandria.

Properties
Calculated formation energy: -0.1728 eV per atom
Uncorrected energy: -3.5682 eV/atom
Offset from the most stable computed form: 69 meV/atom
Symmetry: P2_1/m (11)

```
data_LaPm2Zn2
_cell_length_a 4.4878
_cell_length_b 4.6784
_cell_length_c 13.5144
_cell_angle_alpha 100.27
_cell_angle_beta 90.00
_cell_angle_gamma 90.00
_space_group_name_H-M_alt 'P 1'
_space_group_IT_number 1
loop_
_space_group_symop_operation_xyz
'x,y,z'
loop_
_atom_site_label
_atom_site_type_symbol
_atom_site_fract_x
_atom_site_fract_y
_atom_site_fract_z
Zn1 Zn 0.2500 0.5223 0.0447
Pm1 Pm 0.2500 0.2646 0.5271
La1 La 0.2500 0.6343 0.2705
Zn2 Zn 0.2500 0.8337 0.6623
Zn3 Zn 0.7500 0.1663 0.3377
Pm2 Pm 0.7500 0.7354 0.4729
Pm3 Pm 0.2500 0.9448 0.8924
Pm4 Pm 0.7500 0.0552 0.1076
Zn4 Zn 0.7500 0.4777 0.9553
La2 La 0.7500 0.3657 0.7295
```



First-principles (GGA-PBE) data for an optimized crystal structure of LaPm3Zn, as listed in Alexandria.

Properties
Calculated formation energy: 0.0441 eV per atom
Uncorrected energy: -4.0465 eV/atom
Offset from the most stable computed form: 154 meV/atom
Symmetry: C2/m (12)

```
data_LaPm3Zn
_cell_length_a 7.8082
_cell_length_b 7.8082
_cell_length_c 7.4720
_cell_angle_alpha 101.81
_cell_angle_beta 116.71
_cell_angle_gamma 111.96
_space_group_name_H-M_alt 'P 1'
_space_group_IT_number 1
loop_
_space_group_symop_operation_xyz
'x,y,z'
loop_
_atom_site_label
_atom_site_type_symbol
_atom_site_fract_x
_atom_site_fract_y
_atom_site_fract_z
Pm1 Pm 0.8340 0.1080 0.3367
Zn1 Zn 0.6527 0.7290 0.3816
Pm2 Pm 0.3107 0.5787 0.8895
Zn2 Zn 0.3473 0.2710 0.6184
La1 La 0.2581 0.9543 0.2125
Pm3 Pm 0.2287 0.5027 0.3367
La2 La 0.7419 0.0457 0.7875
Pm4 Pm 0.7713 0.4973 0.6633
Pm5 Pm 0.6893 0.4213 0.1105
Pm6 Pm 0.1660 0.8920 0.6633
```



First-principles (GGA-PBE) data for an optimized crystal structure of La3Pm4Zn, as listed in Alexandria.

Properties
Calculated formation energy: -0.0684 eV per atom
Uncorrected energy: -4.4507 eV/atom
Symmetry: P4/mmm (123)

```
data_La3Pm4Zn
_cell_length_a 3.6939
_cell_length_b 3.6939
_cell_length_c 19.2903
_cell_angle_alpha 90.00
_cell_angle_beta 90.00
_cell_angle_gamma 90.00
_space_group_name_H-M_alt 'P 1'
_space_group_IT_number 1
loop_
_space_group_symop_operation_xyz
'x,y,z'
loop_
_atom_site_label
_atom_site_type_symbol
_atom_site_fract_x
_atom_site_fract_y
_atom_site_fract_z
Pm1 Pm 0.0000 0.0000 0.6347
Zn1 Zn 0.5000 0.5000 0.0000
Pm2 Pm 0.0000 0.0000 0.9067
Pm3 Pm 0.0000 0.0000 0.0933
La1 La 0.5000 0.5000 0.2296
La2 La 0.5000 0.5000 0.7704
La3 La 0.5000 0.5000 0.5000
Pm4 Pm 0.0000 0.0000 0.3653
```



Please write out number 6 again, unchanged.
First-principles (GGA-PBE) data for an optimized crystal structure of LaPm2Zn, as listed in Alexandria.

Properties
Calculated formation energy: 0.0946 eV per atom
Uncorrected energy: -3.8311 eV/atom
Offset from the most stable computed form: 248 meV/atom
Symmetry: R-3m (166)

```
data_LaPm2Zn
_cell_length_a 3.5368
_cell_length_b 3.5368
_cell_length_c 11.7936
_cell_angle_alpha 81.38
_cell_angle_beta 81.38
_cell_angle_gamma 60.00
_space_group_name_H-M_alt 'P 1'
_space_group_IT_number 1
loop_
_space_group_symop_operation_xyz
'x,y,z'
loop_
_atom_site_label
_atom_site_type_symbol
_atom_site_fract_x
_atom_site_fract_y
_atom_site_fract_z
Pm1 Pm 0.8990 0.8990 0.3030
Zn1 Zn 0.5000 0.5000 0.5000
Pm2 Pm 0.1010 0.1010 0.6970
La1 La 0.0000 0.0000 0.0000
```



- calculated formation energy of number 9 (LaPm3Zn)?
  0.0441 eV per atom



- calculated formation energy of number 3 (LaPm2Zn4)?
  -0.1257 eV per atom



- Number 2 is which compound?
  La2Pm3Zn2